Crystalline YTe2Au2 at its relaxed geometry, computed with PBE.

a b c (Å): 8.2734 8.2734 8.2734
angles (deg): 152.23 152.23 39.68
Last column: nearest neighbours and their distance in Å.
Positions (direct):
Au: 0.7500 0.2500 0.5000  4 Au 2.81, 4 Te 3.06
Au: 0.2500 0.7500 0.5000  4 Au 2.81, 4 Te 3.06
Te: 0.3997 0.3997 0.0000  4 Au 3.06, 1 Te 3.12, 4 Y 3.21
Te: 0.6003 0.6003 0.0000  4 Au 3.06, 1 Te 3.12, 4 Y 3.21
Y: 0.0000 0.0000 0.0000  8 Te 3.21

Computed properties:
* total moment: 0.00 μB per formula unit
* total DFT energy (no corrections): -4.315 eV per atom